DFT (PBE) results for crystalline CsScI2N at its relaxed geometry.

* total moment: 0.283 μB per atom
* ρ: 3.64 g/cm3
* DOS(E_F): 1.80 states/eV per atom
* SG: No. 123
* crystal system: tetragonal
* energy relative to the elements, uncorrected: 1030 meV/atom

abc: 6.763 6.763 4.446
angles: 90.00 90.00 90.00
Positions (direct):
N1 0.000 0.000 0.500
Sc1 0.500 0.500 0.500
I1 0.500 0.000 0.000
I2 0.000 0.500 0.000
Cs1 0.000 0.000 0.000

---

DFT (PBE) results for crystalline Cs2ScI6N at its relaxed geometry.

* total moment: 0.200 μB per atom
* ρ: 4.38 g/cm3
* DOS(E_F): 0.26 states/eV per atom
* SG: No. 139
* crystal system: tetragonal
* energy relative to the elements, uncorrected: -594 meV/atom

abc: 8.007 8.007 8.564
angles: 62.13 62.13 90.00
Positions (direct):
Sc1 0.000 0.000 0.000
I1 0.741 0.259 0.000
I2 0.741 0.741 0.000
I3 0.259 0.259 0.000
Cs1 0.250 0.750 0.500
Cs2 0.750 0.250 0.500
I4 0.259 0.741 0.000
I5 0.777 0.777 0.446
N1 0.500 0.500 0.000
I6 0.223 0.223 0.554